1.
First-principles (PBE-GGA) data for a geometry-optimized Mg12In3Cu structure, as listed in Alexandria via LeMat-Bulk.

a b c (Å): 4.4952 4.4952 17.2394
angles (deg): 90.00 90.00 90.00
Last column: nearest neighbours and their distance in Å.
Positions (direct):
Mg1 0.5000 0.0000 0.1098  8 Mg 2.94-3.18, 2 Cu 2.94, 2 In 3.17
Mg2 0.5000 0.5000 0.7604  8 Mg 3.17-3.18, 4 In 3.18
Mg3 0.5000 0.5000 0.0000  8 Mg 2.94, 4 Cu 3.18
Mg4 0.5000 0.5000 0.5000  8 Mg 3.17, 4 In 3.18
Mg5 0.0000 0.5000 0.1098  2 Cu 2.94, 8 Mg 2.94-3.18, 2 In 3.17
Mg6 0.0000 0.5000 0.8902  2 Cu 2.94, 8 Mg 2.94-3.18, 2 In 3.17
Mg7 0.5000 0.0000 0.3703  8 Mg 3.17-3.18, 4 In 3.17-3.18
Mg8 0.0000 0.5000 0.3703  4 In 3.17-3.18, 8 Mg 3.17-3.18
Mg9 0.5000 0.0000 0.8902  8 Mg 2.94-3.18, 2 Cu 2.94, 2 In 3.17
Mg10 0.5000 0.0000 0.6297  8 Mg 3.17-3.18, 4 In 3.17-3.18
Mg11 0.0000 0.5000 0.6297  4 In 3.17-3.18, 8 Mg 3.17-3.18
Mg12 0.5000 0.5000 0.2396  8 Mg 3.17-3.18, 4 In 3.18
In1 0.0000 0.0000 0.2397  12 Mg 3.17-3.18
In2 0.0000 0.0000 0.7603  12 Mg 3.17-3.18
In3 0.0000 0.0000 0.5000  12 Mg 3.17-3.18
Cu1 0.0000 0.0000 0.0000  12 Mg 2.94-3.18

Fermi-level density of states	6.33	states/eV per cell
ρ	3.335	g cm⁻³

***

2.
First-principles (PBE-GGA) data for a geometry-optimized Mg3InCu8 structure, as listed in Alexandria via LeMat-Bulk.

a b c (Å): 5.0267 5.0267 8.5613
angles (deg): 72.93 72.93 60.00
Last column: nearest neighbours and their distance in Å.
Positions (direct):
Mg1 0.5002 0.5002 0.4994  12 Cu 2.91-2.94, 1 Mg 3.04, 3 In 3.07
Mg2 0.3746 0.3746 0.8762  12 Cu 2.88-2.94, 4 Mg 3.04-3.07
Mg3 0.0002 0.0002 0.9993  12 Cu 2.88-2.94, 1 In 3.01, 3 Mg 3.07
Cu1 0.9375 0.9375 0.6894  6 Cu 2.47-2.52
Cu2 0.6875 0.6875 0.9374  6 Cu 2.47
Cu3 0.4379 0.4379 0.1858  6 Cu 2.47-2.52
Cu4 0.9383 0.4379 0.1858  6 Cu 2.47-2.52
Cu5 0.1872 0.1872 0.4384  6 Cu 2.49-2.50
Cu6 0.4379 0.9383 0.1858  6 Cu 2.47-2.52
Cu7 0.9375 0.4356 0.6894  6 Cu 2.47-2.52
Cu8 0.4356 0.9375 0.6894  6 Cu 2.47-2.52
In1 0.8755 0.8755 0.3735  12 Cu 2.93-2.95, 4 Mg 3.01-3.07

energy above the lowest structure with this stoichiometry	0	meV per atom
Fermi-level density of states	4.73	states/eV per cell
ρ	6.558	g cm⁻³

***

3.
First-principles (PBE-GGA) data for a geometry-optimized Mg2In8Cu structure, as listed in Alexandria via LeMat-Bulk.

a b c (Å): 4.7023 4.7023 12.1849
angles (deg): 90.00 90.00 90.00
Last column: nearest neighbours and their distance in Å.
Positions (direct):
Mg1 0.0000 0.0000 0.3156  12 In 3.25-3.33
Mg2 0.0000 0.0000 0.6844  12 In 3.25-3.33
Cu1 0.0000 0.0000 0.0000  8 In 2.83
In1 0.5000 0.5000 0.3117  8 In 3.24-3.28, 4 Mg 3.33
In2 0.5000 0.0000 0.8713  2 Cu 2.83, 1 In 3.14
In3 0.5000 0.0000 0.5000  4 Mg 3.25, 8 In 3.28-3.33
In4 0.0000 0.5000 0.5000  4 Mg 3.25, 8 In 3.28-3.33
In5 0.5000 0.0000 0.1287  2 Cu 2.83, 1 In 3.14
In6 0.0000 0.5000 0.1287  2 Cu 2.83, 1 In 3.14
In7 0.5000 0.5000 0.6883  8 In 3.24-3.28, 4 Mg 3.33
In8 0.0000 0.5000 0.8713  2 Cu 2.83, 1 In 3.14

Fermi-level density of states	4.25	states/eV per cell
ρ	6.352	g cm⁻³

***

4.
First-principles (PBE-GGA) data for a geometry-optimized MgInCu structure, as listed in Alexandria via LeMat-Bulk.

a b c (Å): 4.5581 4.5581 3.2055
angles (deg): 90.00 90.00 120.00
Last column: nearest neighbours and their distance in Å.
Positions (direct):
Cu1 0.0000 0.0000 0.1706  3 In 2.63
In1 0.3333 0.6667 0.1641  3 Cu 2.63
Mg1 0.6667 0.3333 0.6653  6 Cu 3.07-3.09, 6 In 3.08, 2 Mg 3.21

Fermi-level density of states	0.85	states/eV per cell
ρ	5.835	g cm⁻³

***

5.
First-principles (PBE-GGA) data for a geometry-optimized MgInCu structure, as listed in Alexandria via LeMat-Bulk.

a b c (Å): 3.2164 3.2164 6.6379
angles (deg): 90.00 90.00 120.00
Last column: nearest neighbours and their distance in Å.
Positions (direct):
In1 0.6667 0.3333 0.3082  3 Cu 2.79
Mg1 0.3333 0.6667 0.6969  3 Cu 2.71
Cu1 0.0000 0.0000 0.9949  3 Mg 2.71, 3 In 2.79

Fermi-level density of states	0.86	states/eV per cell
ρ	5.659	g cm⁻³

***

6.
First-principles (PBE-GGA) data for a geometry-optimized MgIn3Cu8 structure, as listed in Alexandria via LeMat-Bulk.

a b c (Å): 5.0369 5.0369 8.6987
angles (deg): 73.17 73.17 60.00
Last column: nearest neighbours and their distance in Å.
Positions (direct):
Cu1 0.9378 0.9378 0.6858  6 Cu 2.50-2.52
Cu2 0.4385 0.9378 0.6858  6 Cu 2.50-2.52
Cu3 0.9378 0.4385 0.6858  6 Cu 2.50-2.52
Cu4 0.4368 0.9374 0.1890  6 Cu 2.50-2.52
Cu5 0.9374 0.4368 0.1890  6 Cu 2.50-2.52
Cu6 0.1876 0.1876 0.4372  6 Cu 2.50
Cu7 0.6876 0.6876 0.9373  6 Cu 2.52
Cu8 0.4368 0.4368 0.1890  6 Cu 2.50-2.52
In1 0.9967 0.9967 0.0099  12 Cu 2.92-3.03, 1 Mg 3.02, 3 In 3.12
In2 0.5027 0.5027 0.4918  12 Cu 2.88-2.98, 3 Mg 3.05, 1 In 3.11
In3 0.3763 0.3763 0.8710  12 Cu 2.94-2.98, 4 In 3.11-3.12
Mg1 0.8738 0.8738 0.3785  12 Cu 2.91-2.96, 4 In 3.02-3.05

energy above the lowest structure with this stoichiometry	0	meV per atom
Fermi-level density of states	4.13	states/eV per cell
ρ	8.086	g cm⁻³

***

7.
First-principles (PBE-GGA) data for a geometry-optimized MgInCu structure, as listed in Alexandria via LeMat-Bulk.

a b c (Å): 4.2458 5.1651 5.9312
angles (deg): 98.99 110.97 90.00
Last column: nearest neighbours and their distance in Å.
Positions (direct):
In1 0.5751 0.7705 0.1503  3 Cu 2.68-2.69
In2 0.4249 0.2295 0.8497  3 Cu 2.68-2.69
Mg1 0.1433 0.3303 0.2866  4 Cu 2.73-2.84
Mg2 0.8567 0.6697 0.7134  4 Cu 2.73-2.84
Cu1 0.7751 0.1415 0.5503  2 Cu 2.58, 3 In 2.68-2.69, 4 Mg 2.73-2.84
Cu2 0.2249 0.8585 0.4497  2 Cu 2.58, 3 In 2.68-2.69, 4 Mg 2.73-2.84

Fermi-level density of states	1.78	states/eV per cell
ρ	5.621	g cm⁻³

***

8.
First-principles (PBE-GGA) data for a geometry-optimized Mg3In3Cu2 structure, as listed in Alexandria via LeMat-Bulk.

a b c (Å): 5.5357 6.9958 17.1196
angles (deg): 90.00 90.00 90.00
Last column: nearest neighbours and their distance in Å.
Positions (direct):
Cu1 0.4090 0.3774 0.8751  4 In 2.64-2.91, 4 Mg 2.74-2.96
Cu2 0.0910 0.8774 0.6249  4 In 2.64-2.91, 4 Mg 2.74-2.96
Cu3 0.5910 0.6226 0.3751  4 In 2.64-2.91, 4 Mg 2.74-2.96
Cu4 0.0910 0.8774 0.8751  4 In 2.64-2.91, 4 Mg 2.74-2.96
Cu5 0.5910 0.6226 0.1249  4 In 2.64-2.91, 4 Mg 2.74-2.96
Cu6 0.9090 0.1226 0.3751  4 In 2.64-2.91, 4 Mg 2.74-2.96
Cu7 0.9090 0.1226 0.1249  4 In 2.64-2.91, 4 Mg 2.74-2.96
Cu8 0.4090 0.3774 0.6249  4 In 2.64-2.91, 4 Mg 2.74-2.96
In1 0.8760 0.8194 0.4719  3 Cu 2.67-2.91
In2 0.3760 0.6806 0.9719  3 Cu 2.67-2.91
In3 0.3760 0.6806 0.5281  3 Cu 2.67-2.91
In4 0.8760 0.8194 0.0281  3 Cu 2.67-2.91
In5 0.3211 0.6828 0.2500  2 Cu 2.64, 2 Mg 2.96
In6 0.6240 0.3194 0.4719  3 Cu 2.67-2.91
In7 0.1240 0.1806 0.9719  3 Cu 2.67-2.91
In8 0.1789 0.1828 0.2500  2 Cu 2.64, 2 Mg 2.96
In9 0.6240 0.3194 0.0281  3 Cu 2.67-2.91
In10 0.8211 0.8172 0.7500  2 Cu 2.64, 2 Mg 2.96
In11 0.1240 0.1806 0.5281  3 Cu 2.67-2.91
In12 0.6789 0.3172 0.7500  2 Cu 2.64, 2 Mg 2.96
Mg1 0.9020 0.5155 0.8844  3 Cu 2.74-2.97, 2 In 2.96-3.04
Mg2 0.0980 0.4845 0.1156  3 Cu 2.74-2.97, 2 In 2.96-3.04
Mg3 0.9020 0.5155 0.6156  3 Cu 2.74-2.97, 2 In 2.96-3.04
Mg4 0.8230 0.8390 0.2500  4 Cu 2.92-2.96, 3 In 2.97-3.11
Mg5 0.6770 0.3390 0.2500  4 Cu 2.92-2.96, 3 In 2.97-3.11
Mg6 0.4020 0.9845 0.3844  3 Cu 2.74-2.97, 2 In 2.96-3.04
Mg7 0.5980 0.0155 0.6156  3 Cu 2.74-2.97, 2 In 2.96-3.04
Mg8 0.3230 0.6610 0.7500  4 Cu 2.92-2.96, 3 In 2.97-3.11
Mg9 0.0980 0.4845 0.3844  3 Cu 2.74-2.97, 2 In 2.96-3.04
Mg10 0.1770 0.1610 0.7500  4 Cu 2.92-2.96, 3 In 2.97-3.11
Mg11 0.4020 0.9845 0.1156  3 Cu 2.74-2.97, 2 In 2.96-3.04
Mg12 0.5980 0.0155 0.8844  3 Cu 2.74-2.97, 2 In 2.96-3.04

Fermi-level density of states	10.55	states/eV per cell
ρ	5.455	g cm⁻³

***

| no. | energy relative to the elements (meV per atom) |
| --- | --- |
| 1 | -53 |
| 2 | -129 |
| 3 | -9 |
| 4 | -16 |
| 5 | 59 |
| 6 | -69 |
| 7 | -38 |
| 8 | -43 |